# 1
Compound: Zr3ZnIn2Ir2Pd
Source: OQMD
Functional: GGA-PBE
Structure: optimized geometry

Summary:
The space group is Amm2, No. 38. Its total energy is -6.795 eV per atom.

Cell lengths 3.373, 7.598, 7.598 Å; angles 119.95, 90.00, 90.00 degrees
Atoms (fractional coordinates):
Zr 0.000 0.000 0.000
Zr 0.000 0.434 0.823
Zr 0.000 0.823 0.434
Zn 0.500 0.695 0.695
In 0.500 0.150 0.415
In 0.500 0.415 0.150
Ir 0.500 0.080 0.749
Ir 0.500 0.749 0.080
Pd 0.000 0.439 0.439

***

# 2
Compound: PmInIr
Source: OQMD
Functional: GGA-PBE
Structure: optimized geometry

Summary:
The space group is F-43m, No. 216. Its total energy is -5.184 eV per atom.

Cell lengths 6.871, 6.871, 6.871 Å; angles 90.00, 90.00, 90.00 degrees
Atoms (fractional coordinates):
Pm 0.000 0.000 0.000
Pm 0.000 0.500 0.500
Pm 0.500 0.000 0.500
Pm 0.500 0.500 0.000
In 0.250 0.250 0.750
In 0.250 0.750 0.250
In 0.750 0.250 0.250
In 0.750 0.750 0.750
Ir 0.250 0.250 0.250
Ir 0.250 0.750 0.750
Ir 0.750 0.250 0.750
Ir 0.750 0.750 0.250

***

# 3
Compound: PmInIr4
Source: OQMD
Functional: GGA-PBE
Structure: optimized geometry

Summary:
The space group is P4/mmm, No. 123. Its total energy is -6.802 eV per atom.

Cell lengths 3.878, 3.878, 7.827 Å; angles 90.00, 90.00, 90.00 degrees
Atoms (fractional coordinates):
Pm 0.000 0.000 0.000
In 0.500 0.500 0.500
Ir 0.000 0.500 0.265
Ir 0.000 0.500 0.735
Ir 0.500 0.000 0.265
Ir 0.500 0.000 0.735

***

# 4
Compound: PmIn2Ir
Source: OQMD
Functional: GGA-PBE
Structure: optimized geometry

Summary:
The space group is Cmcm, No. 63. Its total energy is -5.306 eV per atom.

Cell lengths 4.371, 10.361, 8.082 Å; angles 90.00, 90.00, 90.00 degrees
Atoms (fractional coordinates):
Pm 0.000 0.069 0.250
Pm 0.000 0.931 0.750
Pm 0.500 0.431 0.750
Pm 0.500 0.569 0.250
In 0.000 0.355 0.051
In 0.000 0.355 0.449
In 0.000 0.645 0.551
In 0.000 0.645 0.949
In 0.500 0.145 0.551
In 0.500 0.145 0.949
In 0.500 0.855 0.051
In 0.500 0.855 0.449
Ir 0.000 0.221 0.750
Ir 0.000 0.779 0.250
Ir 0.500 0.279 0.250
Ir 0.500 0.721 0.750

***

Copy entry 3 word for word.
Compound: PmInIr4
Source: OQMD
Functional: GGA-PBE
Structure: optimized geometry

Summary:
The space group is P4/mmm, No. 123. Its total energy is -6.802 eV per atom.

Cell lengths 3.878, 3.878, 7.827 Å; angles 90.00, 90.00, 90.00 degrees
Atoms (fractional coordinates):
Pm 0.000 0.000 0.000
In 0.500 0.500 0.500
Ir 0.000 0.500 0.265
Ir 0.000 0.500 0.735
Ir 0.500 0.000 0.265
Ir 0.500 0.000 0.735